1 | Density functional theory data (GGA-PBE) for a geometry-optimized LiPaRu2 structure. Values from VASP.

Geometry as Quantum ESPRESSO input:
```
&SYSTEM
  ibrav = 0, nat = 4, ntyp = 3
/
ATOMIC_SPECIES
Ru 101.07 Ru.upf
Pa 231.04 Pa.upf
Li 6.94 Li.upf
ATOMIC_POSITIONS angstrom
Ru -1.401 2.384 -0.168
Ru -4.204 7.152 -0.505
Pa 0.000 0.000 0.000
Li -2.803 4.768 -0.337
CELL_PARAMETERS angstrom
-0.728 3.687 -2.519
-4.122 1.860 -0.149
-0.755 3.990 1.995
```

M_tot   0.00 μB/atom
V   16.37 Å³/atom
D(E_F)   1.452 states/eV/f.u.


2 | Density functional theory data (GGA-PBE) for a geometry-optimized LiPaRu2 structure. Values from VASP.

Geometry as Quantum ESPRESSO input:
```
&SYSTEM
  ibrav = 0, nat = 4, ntyp = 3
/
ATOMIC_SPECIES
Ru 101.07 Ru.upf
Pa 231.04 Pa.upf
Li 6.94 Li.upf
ATOMIC_POSITIONS angstrom
Ru -0.407 1.113 1.721
Ru 0.774 -1.541 1.180
Pa -1.310 -1.195 2.999
Li -1.677 -0.767 0.099
CELL_PARAMETERS angstrom
-3.354 -1.534 0.198
1.548 -3.081 2.360
-0.815 2.226 3.441
```

M_tot   0.00 μB/atom
V   16.12 Å³/atom
D(E_F)   3.211 states/eV/f.u.


2 has the most favorable energy; the next structure is 6 meV per atom above.


1 | Density functional theory data (GGA-PBE) for a geometry-optimized LiPaRu structure. Values from VASP.

Geometry as Quantum ESPRESSO input:
```
&SYSTEM
  ibrav = 0, nat = 3, ntyp = 3
/
ATOMIC_SPECIES
Ru 101.07 Ru.upf
Pa 231.04 Pa.upf
Li 6.94 Li.upf
ATOMIC_POSITIONS angstrom
Ru 0.000 0.000 2.919
Pa 1.686 1.686 1.587
Li 1.686 1.686 4.557
CELL_PARAMETERS angstrom
3.373 0.000 0.000
0.000 3.373 0.000
-1.686 -1.686 5.331
```

M_tot   0.00 μB/atom
V   20.21 Å³/atom
D(E_F)   3.770 states/eV/f.u.


2 | Density functional theory data (GGA-PBE) for a geometry-optimized LiPaRu structure. Values from VASP.

Geometry as Quantum ESPRESSO input:
```
&SYSTEM
  ibrav = 0, nat = 6, ntyp = 3
/
ATOMIC_SPECIES
Li 6.94 Li.upf
Ru 101.07 Ru.upf
Pa 231.04 Pa.upf
ATOMIC_POSITIONS angstrom
Li 1.719 4.341 5.047
Li 4.322 1.765 0.349
Ru 1.720 4.341 2.324
Ru 4.322 1.765 3.072
Pa 4.309 4.355 2.698
Pa 1.733 1.752 2.698
CELL_PARAMETERS angstrom
5.179 0.028 0.000
-0.027 5.179 0.000
0.000 0.000 5.396
```

M_tot   0.00 μB/atom
V   24.12 Å³/atom
D(E_F)   1.400 states/eV/f.u.


3 | Density functional theory data (GGA-PBE) for a geometry-optimized LiPaRu structure. Values from VASP.

Geometry as Quantum ESPRESSO input:
```
&SYSTEM
  ibrav = 0, nat = 3, ntyp = 3
/
ATOMIC_SPECIES
Ru 101.07 Ru.upf
Pa 231.04 Pa.upf
Li 6.94 Li.upf
ATOMIC_POSITIONS angstrom
Ru 0.475 -0.525 2.466
Pa -0.870 2.150 2.386
Li -0.483 0.099 0.236
CELL_PARAMETERS angstrom
-2.902 0.598 1.417
0.855 -3.001 3.017
1.169 4.129 0.653
```

M_tot   0.00 μB/atom
V   17.86 Å³/atom
D(E_F)   3.570 states/eV/f.u.


2 has the most favorable energy; the next structure is 91 meV per atom above.


1 | Density functional theory data (GGA-PBE) for a geometry-optimized Li4PaS4 structure. Values from VASP.

Geometry as Quantum ESPRESSO input:
```
&SYSTEM
  ibrav = 0, nat = 9, ntyp = 3
/
ATOMIC_SPECIES
Li 6.94 Li.upf
Pa 231.04 Pa.upf
S 32.06 S.upf
ATOMIC_POSITIONS angstrom
Li -0.569 0.507 -3.094
Li 3.049 -0.646 -0.667
Li -0.769 -3.228 -0.387
Li 2.000 -2.152 -4.002
Pa 0.000 0.000 0.000
S 0.332 -4.045 -2.415
S 4.042 -2.001 -2.662
S -2.224 -3.901 1.462
S 0.313 -0.813 -5.164
CELL_PARAMETERS angstrom
-1.138 1.013 -6.189
6.097 -1.292 -1.333
-3.728 -5.101 3.133
```

M_tot   0.11 μB/atom
V   24.48 Å³/atom
D(E_F)   0.681 states/eV/f.u.


2 | Density functional theory data (GGA-PBE) for a geometry-optimized Li4PaS4 structure. Values from VASP.

Geometry as Quantum ESPRESSO input:
```
&SYSTEM
  ibrav = 0, nat = 9, ntyp = 3
/
ATOMIC_SPECIES
Li 6.94 Li.upf
Pa 231.04 Pa.upf
S 32.06 S.upf
ATOMIC_POSITIONS angstrom
Li -1.775 4.082 2.166
Li -3.780 6.298 5.145
Li -0.190 5.065 7.033
Li 1.815 2.850 4.053
Pa -0.228 1.894 -0.308
S 0.185 2.368 2.299
S -2.150 6.780 6.899
S 1.321 7.035 5.904
S -3.286 2.113 3.294
CELL_PARAMETERS angstrom
-0.456 3.788 -0.617
-5.202 1.935 3.615
3.693 3.425 6.200
```

M_tot   0.11 μB/atom
V   20.93 Å³/atom
D(E_F)   4.403 states/eV/f.u.


2 has the most favorable energy; the next structure is 253 meV per atom above.


1 | Density functional theory data (GGA-PBE) for a geometry-optimized LiPa2S4 structure. Values from VASP.

Geometry as Quantum ESPRESSO input:
```
&SYSTEM
  ibrav = 0, nat = 14, ntyp = 3
/
ATOMIC_SPECIES
Li 6.94 Li.upf
Pa 231.04 Pa.upf
S 32.06 S.upf
ATOMIC_POSITIONS angstrom
Li 0.000 0.000 0.000
Li -2.098 -2.187 3.417
Pa -4.832 -3.154 0.764
Pa -3.694 0.483 1.251
Pa -2.583 3.321 3.592
Pa 0.368 0.862 3.673
S 0.136 3.531 4.244
S -2.387 0.373 3.857
S -5.065 -1.323 3.086
S -4.649 2.565 -0.634
S 0.204 -1.542 5.403
S -6.147 -0.529 0.343
S -2.343 -1.863 0.836
S -1.231 1.813 1.425
CELL_PARAMETERS angstrom
-2.915 -6.309 1.627
2.807 3.114 5.777
-5.263 3.952 -2.763
```

M_tot   0.43 μB/atom
V   19.94 Å³/atom
D(E_F)   5.891 states/eV/f.u.


2 | Density functional theory data (GGA-PBE) for a geometry-optimized LiPa2S4 structure. Values from VASP.

Geometry as Quantum ESPRESSO input:
```
&SYSTEM
  ibrav = 0, nat = 14, ntyp = 3
/
ATOMIC_SPECIES
Li 6.94 Li.upf
Pa 231.04 Pa.upf
S 32.06 S.upf
ATOMIC_POSITIONS angstrom
Li 4.231 -12.663 1.569
Li 1.879 -4.081 -1.284
Pa 3.055 -8.372 0.142
Pa 2.241 -5.773 3.047
Pa 0.000 0.000 0.000
Pa -0.594 -3.020 2.526
S 6.549 -10.976 -2.131
S -0.439 -5.768 2.415
S 3.683 -8.232 -2.536
S 2.995 -5.630 0.402
S 5.700 -8.256 0.900
S 3.114 -11.113 -0.118
S 2.426 -8.512 2.820
S 0.409 -8.488 -0.615
CELL_PARAMETERS angstrom
-1.188 -6.041 5.052
1.627 -5.198 -5.810
5.671 -5.505 1.043
```

M_tot   0.43 μB/atom
V   25.53 Å³/atom
D(E_F)   11.224 states/eV/f.u.


1 has the most favorable energy; the next structure is 63 meV per atom above.